1.
VASP calculation (GGA-PBE) on crystalline HoThU2P4 at its relaxed geometry.

Cell and atoms, written as extended XYZ:
```
8
Lattice="6.8939 0.0000 0.0000 0.0000 3.9816 0.0000 -2.2957 0.0000 6.6201" Properties=species:S:1:pos:R:3 pbc="T T T"
Ho 0.0000 0.0000 0.0000
Th 3.4469 1.9908 0.0000
U -1.1478 1.9908 3.3101
U 2.2991 0.0000 3.3101
P -0.0394 0.0000 4.8915
P 1.1120 1.9908 1.7059
P 3.4862 1.9908 4.9142
P 4.6376 0.0000 1.7287
```

## Properties
E_tot (eV/atom): -8.29
DOS at the Fermi energy (states/eV per cell): 9.7

***

2.
VASP calculation (GGA-PBE) on crystalline LaPtS2O8 at its relaxed geometry.

Cell and atoms, written as extended XYZ:
```
12
Lattice="5.2171 0.0000 0.0000 -2.6086 4.5182 0.0000 0.0000 0.0000 7.7321" Properties=species:S:1:pos:R:3 pbc="T T T"
La 0.0000 0.0000 0.0000
Pt 0.0000 0.0000 3.8660
S 0.0000 3.0121 1.5272
S 2.6086 1.5061 6.2049
O 0.0000 1.5936 1.9809
O -1.2285 3.7214 1.9809
O 0.0000 3.0121 0.0191
O 1.3801 0.7968 5.7512
O 1.2285 3.7214 1.9809
O 2.6086 1.5061 7.7130
O 3.8370 0.7968 5.7512
O 2.6086 2.9246 5.7512
```

## Properties
E_tot (eV/atom): -6.36
ΔE_f (raw) (eV per atom): -1.451
DOS at the Fermi energy (states/eV per cell): 6.4

***

3.
VASP calculation (GGA-PBE) on crystalline KGaAgAu2 at its relaxed geometry.

Cell and atoms, written as extended XYZ:
```
10
Lattice="4.4840 0.0000 0.0000 0.0000 4.4840 0.0000 0.0000 0.0000 11.9710" Properties=species:S:1:pos:R:3 pbc="T T T"
K 0.0000 0.0000 0.0000
K 2.2420 2.2420 5.9855
Ga 0.0000 2.2420 2.9928
Ga 2.2420 0.0000 8.9783
Ag 0.0000 2.2420 8.9783
Ag 2.2420 0.0000 2.9928
Au 0.0000 0.0000 4.6102
Au 0.0000 0.0000 7.3608
Au 2.2420 2.2420 1.3753
Au 2.2420 2.2420 10.5957
```

## Properties
Relative energy among the computed polymorphs (meV/atom): 0
E_tot (eV/atom): -2.87
DOS at the Fermi energy (states/eV per cell): 4.1

***

4.
VASP calculation (GGA-PBE) on crystalline CaGd2Se at its relaxed geometry.

Cell and atoms, written as extended XYZ:
```
12
Lattice="3.8402 0.0000 0.0000 -1.9201 3.3257 0.0000 0.0000 0.0000 31.6245" Properties=species:S:1:pos:R:3 pbc="T T T"
Ca 0.0000 0.0000 0.0000
Ca 0.0000 2.2172 21.0830
Ca 1.9201 1.1086 10.5415
Gd 0.0000 0.0000 3.4971
Gd 0.0000 0.0000 28.1275
Gd 0.0000 2.2172 17.5859
Gd 0.0000 2.2172 24.5801
Gd 1.9201 1.1086 7.0444
Gd 1.9201 1.1086 14.0386
Se 0.0000 0.0000 15.8123
Se 0.0000 2.2172 5.2708
Se 1.9201 1.1086 26.3538
```

## Properties
E_tot (eV/atom): -9.08
ΔE_f (raw) (eV per atom): -0.664
DOS at the Fermi energy (states/eV per cell): 15.5

***

5.
VASP calculation (GGA-PBE) on crystalline Zn2RuC2 at its relaxed geometry.

Cell and atoms, written as extended XYZ:
```
10
Lattice="5.4164 0.0000 0.0000 0.0000 5.4164 0.0000 0.0000 0.0000 3.7280" Properties=species:S:1:pos:R:3 pbc="T T T"
Zn 1.1848 1.5234 0.0000
Zn 1.5234 4.2316 0.0000
Zn 3.8930 1.1848 0.0000
Zn 4.2316 3.8930 0.0000
Ru 0.0000 0.0000 1.8640
Ru 2.7082 2.7082 1.8640
C 0.4946 2.2136 1.8640
C 2.2136 4.9218 1.8640
C 3.2028 0.4946 1.8640
C 4.9218 3.2028 1.8640
```

## Properties
Relative energy among the computed polymorphs (meV/atom): 0
E_tot (eV/atom): -5.50
DOS at the Fermi energy (states/eV per cell): 3.5

***

6.
VASP calculation (GGA-PBE) on crystalline Cd2RuW2 at its relaxed geometry.

Cell and atoms, written as extended XYZ:
```
10
Lattice="3.6298 0.0000 0.0000 0.0000 3.6298 0.0000 0.0000 0.0000 14.7159" Properties=species:S:1:pos:R:3 pbc="T T T"
Cd 0.0000 1.8149 3.6790
Cd 0.0000 1.8149 11.0369
Cd 1.8149 0.0000 3.6790
Cd 1.8149 0.0000 11.0369
Ru 0.0000 0.0000 0.0000
Ru 1.8149 1.8149 7.3580
W 0.0000 0.0000 6.1864
W 0.0000 0.0000 8.5295
W 1.8149 1.8149 1.1716
W 1.8149 1.8149 13.5444
```

## Properties
Relative energy among the computed polymorphs (meV/atom): 261
E_tot (eV/atom): -6.28
DOS at the Fermi energy (states/eV per cell): 12.6

***

7.
VASP calculation (GGA-PBE) on crystalline MnOsCl2 at its relaxed geometry.

Cell and atoms, written as extended XYZ:
```
8
Lattice="3.0484 0.0000 0.0000 0.0000 5.4222 0.0000 0.0000 0.0000 9.3484" Properties=species:S:1:pos:R:3 pbc="T T T"
Mn 0.0000 0.0000 0.0000
Mn 1.5242 2.7111 0.0000
Os 0.0000 2.7111 7.3046
Os 1.5242 0.0000 7.3046
Cl 0.0000 0.0000 5.4180
Cl 0.0000 2.7111 1.7662
Cl 1.5242 0.0000 1.7662
Cl 1.5242 2.7111 5.4180
```

## Properties
Relative energy among the computed polymorphs (meV/atom): 228
E_tot (eV/atom): -5.83
ΔE_f (raw) (eV per atom): 0.197
DOS at the Fermi energy (states/eV per cell): 6.6

***

8.
VASP calculation (GGA-PBE) on crystalline BaMnBiI2 at its relaxed geometry.

Cell and atoms, written as extended XYZ:
```
5
Lattice="6.2797 0.0000 0.0000 0.0000 6.2797 0.0000 0.0000 0.0000 6.8931" Properties=species:S:1:pos:R:3 pbc="T T T"
Ba 0.0000 0.0000 0.0000
Mn 3.1399 3.1399 0.0000
Bi 0.0000 0.0000 3.4466
I 0.0000 3.1399 3.4466
I 3.1399 0.0000 3.4466
```

## Properties
E_tot (eV/atom): -3.36
ΔE_f (raw) (eV per atom): 0.258
DOS at the Fermi energy (states/eV per cell): 6.2

***

9.
VASP calculation (GGA-PBE) on crystalline B5C7 at its relaxed geometry.

Cell and atoms, written as extended XYZ:
```
12
Lattice="2.4613 0.0000 0.0000 0.0000 2.5157 0.0000 0.0000 0.0000 12.6458" Properties=species:S:1:pos:R:3 pbc="T T T"
B 0.0000 0.0000 0.0000
B 0.0000 0.0000 4.7222
B 0.0000 1.2578 1.3025
B 1.2306 0.0000 11.2980
B 1.2306 1.2578 2.6647
C 0.0000 0.0000 8.4986
C 0.0000 1.2578 5.8212
C 0.0000 1.2578 9.4129
C 1.2306 0.0000 3.6592
C 1.2306 0.0000 7.6129
C 1.2306 1.2578 6.6855
C 1.2306 1.2578 10.2931
```

## Properties
Relative energy among the computed polymorphs (meV/atom): 75
E_tot (eV/atom): -7.83
DOS at the Fermi energy (states/eV per cell): 1.6

***

10.
VASP calculation (GGA-PBE) on crystalline MgSc at its relaxed geometry.

Cell and atoms, written as extended XYZ:
```
16
Lattice="11.5407 0.0000 0.0000 0.0000 11.5407 0.0000 0.0000 0.0000 2.9510" Properties=species:S:1:pos:R:3 pbc="T T T"
Mg 0.9909 7.4314 0.0000
Mg 1.6611 4.7794 1.4755
Mg 4.1092 0.9909 0.0000
Mg 4.7794 9.8796 1.4755
Mg 6.7612 1.6611 1.4755
Mg 7.4314 10.5498 0.0000
Mg 9.8796 6.7612 1.4755
Mg 10.5498 4.1092 0.0000
Sc 1.2397 1.9340 0.0000
Sc 1.9340 10.3010 0.0000
Sc 3.8363 7.0100 1.4755
Sc 4.5306 3.8363 1.4755
Sc 7.0100 7.7044 1.4755
Sc 7.7044 4.5306 1.4755
Sc 9.6066 1.2397 0.0000
Sc 10.3010 9.6066 0.0000
```

## Properties
E_tot (eV/atom): -3.67
DOS at the Fermi energy (states/eV per cell): 19.0

***

11.
VASP calculation (GGA-PBE) on crystalline SiTc2Mo at its relaxed geometry.

Cell and atoms, written as extended XYZ:
```
4
Lattice="3.0603 0.0000 0.0000 0.0000 3.0603 0.0000 0.0000 0.0000 6.0507" Properties=species:S:1:pos:R:3 pbc="T T T"
Si 0.0000 0.0000 0.0000
Tc 1.5301 1.5301 1.4280
Tc 1.5301 1.5301 4.6227
Mo 0.0000 0.0000 3.0253
```

## Properties
E_tot (eV/atom): -9.50
ΔE_f (raw) (eV per atom): -0.249
DOS at the Fermi energy (states/eV per cell): 2.6

***

12.
VASP calculation (GGA-PBE) on crystalline LiThF5 at its relaxed geometry.

Cell and atoms, written as extended XYZ:
```
56
Lattice="-7.6070 7.6070 3.3426 7.6070 -7.6070 3.3426 7.6070 7.6070 -3.3426" Properties=species:S:1:pos:R:3 pbc="T T T"
Li 1.2384 2.8240 -0.1459
Li 6.3686 -2.8240 3.1967
Li 6.6275 2.5651 1.5254
Li -0.9795 2.5651 1.8172
Li 8.5865 5.0419 1.5254
Li 0.9795 5.0419 1.8172
Li 1.2384 10.4310 0.1459
Li 6.3686 4.7830 3.4885
Th 10.5566 2.8739 -0.0098
Th 8.5366 -0.8539 1.6615
Th 0.9296 -0.8539 1.6811
Th 4.6574 4.7331 -0.0098
Th 2.9496 2.8739 3.3524
Th 6.6774 8.4609 1.6615
Th -0.9296 8.4609 1.6811
Th -2.9496 4.7331 3.3524
F 6.5917 -2.1634 1.1746
F 1.0764 0.6730 -0.0400
F 3.0892 -1.4054 0.9016
F 3.0107 3.2315 -0.8377
F 5.9669 2.7882 -0.4967
F 6.8555 -5.0157 3.2157
F 4.5963 -3.2315 2.5049
F 10.0051 0.7143 0.7697
F 7.0350 0.7928 0.8336
F 6.5917 5.4436 -1.1746
F 9.2471 4.8188 -0.4967
F 3.0892 6.2016 -0.9016
F 0.7515 5.0157 -0.1269
F 4.4765 2.7271 1.6313
F -0.5720 0.7928 2.5090
F 2.3981 0.7143 2.5729
F 8.8192 3.0520 1.5444
F 4.4765 10.3342 -1.6313
F 6.5306 -0.6730 3.3026
F 1.2122 3.0520 1.7981
F 6.3948 4.5550 1.5444
F 1.0764 8.2800 0.0400
F 3.1305 -2.7271 4.9739
F -1.2122 4.5550 1.7981
F 5.2089 6.8927 0.7697
F 8.1790 6.8142 0.8336
F 3.1305 4.8799 1.7113
F 6.8555 2.5913 3.4694
F 4.5178 1.4054 4.2442
F -1.6401 2.7882 3.8393
F 1.0153 2.1634 4.5172
F 0.5720 6.8142 2.5090
F -2.3981 6.8927 2.5729
F 3.0107 10.8385 0.8377
F 0.7515 12.6227 0.1269
F 1.6401 4.8188 3.8393
F 4.5963 4.3755 4.1803
F 4.5178 9.0124 2.4410
F 6.5306 6.9340 3.3826
F 1.0153 9.7704 2.1680
```

## Properties
Relative energy among the computed polymorphs (meV/atom): 0
E_tot (eV/atom): -6.49
ΔE_f (raw) (eV per atom): -3.821
DOS at the Fermi energy (states/eV per cell): 0.0

***

13.
VASP calculation (GGA-PBE) on crystalline ReBN3 at its relaxed geometry.

Cell and atoms, written as extended XYZ:
```
5
Lattice="3.8796 0.0000 0.0000 0.0000 3.8796 0.0000 0.0000 0.0000 3.8796" Properties=species:S:1:pos:R:3 pbc="T T T"
Re 0.0000 0.0000 0.0000
B 1.9398 1.9398 1.9398
N 0.0000 0.0000 1.9398
N 0.0000 1.9398 0.0000
N 1.9398 0.0000 0.0000
```

## Properties
E_tot (eV/atom): -7.21
ΔE_f (raw) (eV per atom): 1.606
DOS at the Fermi energy (states/eV per cell): 2.5

***

14.
VASP calculation (GGA-PBE) on crystalline Th3HgC at its relaxed geometry.

Cell and atoms, written as extended XYZ:
```
10
Lattice="1.8792 -6.5843 0.0000 1.8792 6.5843 0.0000 0.0000 0.0000 10.4192" Properties=species:S:1:pos:R:3 pbc="T T T"
Th 1.8792 6.0220 7.8144
Th 1.8792 1.6605 5.6482
Th 1.8792 1.6605 9.9806
Th 1.8792 -1.6605 0.4386
Th 1.8792 -1.6605 4.7710
Th 1.8792 -6.0220 2.6048
Hg 1.8792 3.2909 2.6048
Hg 1.8792 -3.2909 7.8144
C 0.0000 0.0000 0.0000
C 0.0000 0.0000 5.2096
```

## Properties
Relative energy among the computed polymorphs (meV/atom): 0
E_tot (eV/atom): -6.65
DOS at the Fermi energy (states/eV per cell): 8.5

***

15.
VASP calculation (GGA-PBE) on crystalline Ca2LaP at its relaxed geometry.

Cell and atoms, written as extended XYZ:
```
8
Lattice="3.9875 0.0000 0.0000 0.0000 4.3980 0.0000 0.0000 0.0000 15.3435" Properties=species:S:1:pos:R:3 pbc="T T T"
Ca 0.0000 0.0000 0.0000
Ca 0.0000 2.1990 7.6718
Ca 1.9938 0.0000 5.2126
Ca 1.9938 2.1990 12.8843
La 0.0000 0.0000 10.4820
La 0.0000 2.1990 2.8103
P 1.9938 0.0000 2.2791
P 1.9938 2.1990 9.9509
```

## Properties
E_tot (eV/atom): -4.23
DOS at the Fermi energy (states/eV per cell): 7.9

***

16.
VASP calculation (GGA-PBE) on crystalline TiSbRuW2 at its relaxed geometry.

Cell and atoms, written as extended XYZ:
```
5
Lattice="4.6866 0.0000 0.0000 0.0000 4.6866 0.0000 0.0000 0.0000 4.4971" Properties=species:S:1:pos:R:3 pbc="T T T"
Ti 0.0000 0.0000 0.0000
Sb 2.3433 2.3433 2.2486
Ru 0.0000 0.0000 2.2486
W 0.0000 2.3433 0.0000
W 2.3433 0.0000 0.0000
```

## Properties
E_tot (eV/atom): -7.85
ΔE_f (raw) (eV per atom): 1.588
DOS at the Fermi energy (states/eV per cell): 7.0

***

17.
VASP calculation (GGA-PBE) on crystalline Cd2Bi2Pd at its relaxed geometry.

Cell and atoms, written as extended XYZ:
```
10
Lattice="-3.1291 6.6691 3.0438 3.1291 -6.6691 3.0438 3.1291 6.6691 -3.0438" Properties=species:S:1:pos:R:3 pbc="T T T"
Cd 1.0186 1.1680 0.0000
Cd 1.0186 -1.1680 3.0438
Cd 2.1105 7.8371 0.0000
Cd 2.1105 5.5011 3.0438
Bi 4.3842 2.1214 0.0000
Bi 1.2552 4.5477 0.0000
Bi 1.8739 2.1214 3.0438
Bi -1.2552 4.5477 3.0438
Pd 3.1291 0.0000 1.5219
Pd 0.0000 6.6691 1.5219
```

## Properties
Relative energy among the computed polymorphs (meV/atom): 0
E_tot (eV/atom): -3.10
DOS at the Fermi energy (states/eV per cell): 3.5

***

18.
VASP calculation (GGA-PBE) on crystalline Zn2SnGe2 at its relaxed geometry.

Cell and atoms, written as extended XYZ:
```
10
Lattice="4.3766 0.0000 0.0000 0.0000 4.3766 0.0000 0.0000 0.0000 10.6538" Properties=species:S:1:pos:R:3 pbc="T T T"
Zn 0.0000 2.1883 2.6635
Zn 0.0000 2.1883 7.9904
Zn 2.1883 0.0000 2.6635
Zn 2.1883 0.0000 7.9904
Sn 0.0000 0.0000 0.0000
Sn 2.1883 2.1883 5.3269
Ge 0.0000 0.0000 4.0886
Ge 0.0000 0.0000 6.5652
Ge 2.1883 2.1883 1.2383
Ge 2.1883 2.1883 9.4155
```

## Properties
Relative energy among the computed polymorphs (meV/atom): 0
E_tot (eV/atom): -3.00
DOS at the Fermi energy (states/eV per cell): 3.9

***

19.
VASP calculation (GGA-PBE) on crystalline Hf2Tl2NiS6 at its relaxed geometry.

Cell and atoms, written as extended XYZ:
```
11
Lattice="3.1500 -5.4539 0.0000 3.1500 5.4539 0.0000 -2.1829 0.0000 7.6838" Properties=species:S:1:pos:R:3 pbc="T T T"
Hf 3.1500 3.6250 0.0000
Hf 3.1500 -3.6250 0.0000
Tl 2.0586 1.8439 3.8419
Tl 2.0586 -1.8439 3.8419
Ni 3.1500 0.0000 0.0000
S -0.0657 1.7748 6.2640
S 1.1151 0.0000 1.3950
S -0.0657 -1.7748 6.2640
S 4.1828 1.7748 1.4198
S 3.0020 0.0000 6.2888
S 4.1828 -1.7748 1.4198
```

## Properties
E_tot (eV/atom): -6.00
ΔE_f (raw) (eV per atom): -0.982

***

20.
VASP calculation (GGA-PBE) on crystalline ZnInIr2 at its relaxed geometry.

Cell and atoms, written as extended XYZ:
```
4
Lattice="2.8644 0.0000 0.0000 0.0000 3.8898 0.0000 0.0000 0.0000 5.7416" Properties=species:S:1:pos:R:3 pbc="T T T"
Zn 0.0000 0.0000 0.0000
In 1.4322 1.9449 1.7049
Ir 0.0000 0.0000 3.0959
Ir 1.4322 1.9449 4.6362
```

## Properties
E_tot (eV/atom): -5.40
DOS at the Fermi energy (states/eV per cell): 1.7

***

21.
VASP calculation (GGA-PBE) on crystalline UCuPdO6 at its relaxed geometry.

Cell and atoms, written as extended XYZ:
```
18
Lattice="5.2571 0.0000 0.0000 -2.6285 4.5527 0.0000 0.0000 0.0000 9.0995" Properties=species:S:1:pos:R:3 pbc="T T T"
U 0.0000 3.0352 2.2749
U 2.6285 1.5176 6.8246
Cu 0.0000 0.0000 0.0000
Cu 0.0000 0.0000 4.5497
Pd 0.0000 3.0352 6.8246
Pd 2.6285 1.5176 2.2749
O -0.8592 1.5414 5.7068
O -1.7233 3.0380 7.9424
O 0.8592 1.5414 7.9424
O -0.8640 4.5262 5.7068
O 1.7645 0.0266 1.1571
O 0.9053 1.5148 3.3926
O 1.7232 3.0380 5.7068
O 0.8640 4.5262 7.9424
O 3.4926 0.0266 3.3926
O 1.7693 3.0114 1.1571
O 4.3518 1.5148 1.1571
O 3.4877 3.0114 3.3926
```

## Properties
E_tot (eV/atom): -7.09
ΔE_f (raw) (eV per atom): -1.498
DOS at the Fermi energy (states/eV per cell): 6.2

***

22.
VASP calculation (GGA-PBE) on crystalline AcUCl2 at its relaxed geometry.

Cell and atoms, written as extended XYZ:
```
12
Lattice="3.6126 0.0000 0.0000 -1.8063 3.1286 0.0000 0.0000 0.0000 30.5621" Properties=species:S:1:pos:R:3 pbc="T T T"
Ac 0.0000 0.0000 0.0000
Ac 0.0000 2.0857 20.3747
Ac 1.8063 1.0429 10.1873
U 0.0000 0.0000 15.2810
U 0.0000 2.0857 5.0937
U 1.8063 1.0429 25.4684
Cl 0.0000 0.0000 12.4412
Cl 0.0000 0.0000 18.1208
Cl 0.0000 2.0857 2.2539
Cl 0.0000 2.0857 7.9335
Cl 1.8063 1.0429 22.6286
Cl 1.8063 1.0429 28.3082
```

## Properties
E_tot (eV/atom): -5.66
ΔE_f (raw) (eV per atom): -0.886
DOS at the Fermi energy (states/eV per cell): 18.6

***

23.
VASP calculation (GGA-PBE) on crystalline ZrTlSb2 at its relaxed geometry.

Cell and atoms, written as extended XYZ:
```
8
Lattice="4.4575 0.0000 0.0000 0.0000 4.0490 0.0000 0.0000 0.0000 11.5300" Properties=species:S:1:pos:R:3 pbc="T T T"
Zr 0.0000 0.0000 0.0000
Zr 0.0000 2.0245 5.7650
Tl 2.2287 0.0000 9.4071
Tl 2.2287 2.0245 3.6421
Sb 0.0000 0.0000 3.3095
Sb 0.0000 2.0245 9.0745
Sb 2.2287 0.0000 6.5018
Sb 2.2287 2.0245 0.7368
```

## Properties
Relative energy among the computed polymorphs (meV/atom): 93
E_tot (eV/atom): -4.98
ΔE_f (raw) (eV per atom): -0.188
DOS at the Fermi energy (states/eV per cell): 2.9